[1]
Ac2Sm7Ho2 | Alexandria via LeMat-Bulk | GGA-PBE | optimized geometry; DFT formation energy = 0.357 eV/atom; SG = Cmmm; total moment = 0.06 μB/f.u.; raw total energy = -4.225 eV/atom
1.0
3.444 -6.210 0.000
3.444 6.210 0.000
0.000 0.000 9.571
Ac Sm Ho
2 7 2
direct
0.248 0.248 0.000
0.752 0.752 0.000
0.000 0.000 0.500
0.000 0.500 0.190
0.000 0.500 0.810
0.500 0.000 0.190
0.500 0.000 0.810
0.500 0.500 0.326
0.500 0.500 0.674
0.266 0.734 0.500
0.734 0.266 0.500

---

[2]
AcHo2Tm3 | Alexandria via LeMat-Bulk | GGA-PBE | optimized geometry; DFT formation energy = 0.113 eV/atom; SG = C2/c; total moment = 0.00 μB/f.u.; raw total energy = -4.333 eV/atom
1.0
4.535 -4.929 0.000
4.535 4.929 0.000
-1.898 0.000 8.765
Ac Ho Tm
2 4 6
direct
0.075 0.925 0.750
0.925 0.075 0.250
0.132 0.619 0.374
0.381 0.868 0.126
0.619 0.132 0.874
0.868 0.381 0.626
0.177 0.355 0.006
0.355 0.177 0.506
0.418 0.582 0.750
0.582 0.418 0.250
0.645 0.823 0.494
0.823 0.645 0.994

---

[3]
TaAl8 | Alexandria via LeMat-Bulk | GGA-PBE | optimized geometry; DFT formation energy = -0.032 eV/atom; SG = I4/mmm; total moment = 0.00 μB/f.u.; raw total energy = -4.676 eV/atom
1.0
-4.386 4.386 1.923
4.386 -4.386 1.923
4.386 4.386 -1.923
Ta Al
1 8
direct
0.000 0.000 0.000
0.000 0.329 0.329
0.000 0.671 0.671
0.329 0.000 0.329
0.336 0.336 0.671
0.336 0.664 0.000
0.664 0.336 0.000
0.664 0.664 0.329
0.671 0.000 0.671

---

[4]
Ca4AgBi | Alexandria via LeMat-Bulk | GGA-PBE | optimized geometry; DFT formation energy = -0.425 eV/atom; SG = C2/c; total moment = 0.00 μB/f.u.; raw total energy = -2.882 eV/atom
1.0
4.925 -7.119 0.000
4.925 7.119 0.000
-3.238 0.000 5.772
Ca Ag Bi
8 2 2
direct
0.057 0.703 0.909
0.229 0.361 0.702
0.297 0.943 0.591
0.361 0.229 0.202
0.639 0.771 0.798
0.703 0.057 0.409
0.771 0.639 0.298
0.943 0.297 0.091
0.001 0.999 0.750
0.999 0.001 0.250
0.366 0.634 0.250
0.634 0.366 0.750

---

[5]
K2TbI5 | Alexandria via LeMat-Bulk | GGA-PBE | optimized geometry; E_form (uncorrected) = -1364.4 meV per atom; SG = P1; total moment = 0.00 μB/f.u.; raw total energy = -3.186 eV/atom
1.0
8.880 0.000 0.000
0.001 8.882 0.000
4.439 4.438 6.423
K Tb I
2 1 5
direct
0.000 0.000 0.000
0.500 0.500 0.000
0.320 0.820 0.361
0.096 0.597 0.808
0.142 0.109 0.249
0.142 0.642 0.250
0.609 0.109 0.249
0.609 0.642 0.249

---

[6]
Ac2PuAgO6 | Alexandria via LeMat-Bulk | GGA-PBE | optimized geometry; E_form (uncorrected) = -2453.7 meV per atom; SG = P4mm; total moment = 3.00 μB/f.u.; raw total energy = -7.969 eV/atom
1.0
5.511 0.000 0.000
0.000 5.511 0.000
0.000 0.000 5.721
Ac Pu Ag O
2 1 1 6
direct
0.000 0.500 0.000
0.500 0.000 0.000
0.000 0.000 0.575
0.500 0.500 0.484
0.000 0.000 0.174
0.240 0.240 0.721
0.240 0.760 0.721
0.500 0.500 0.109
0.760 0.240 0.721
0.760 0.760 0.721

---

[7]
Tl2Co | Alexandria via LeMat-Bulk | GGA-PBE | optimized geometry; DFT formation energy = 0.553 eV/atom; SG = P-3m1; total moment = 1.14 μB/f.u.; raw total energy = -3.393 eV/atom
1.0
3.354 0.000 0.000
-1.677 2.905 0.000
0.000 0.000 6.732
Tl Co
2 1
direct
0.333 0.667 0.290
0.667 0.333 0.710
0.000 0.000 0.000

---

[8]
La7As5Pb | Alexandria via LeMat-Bulk | GGA-PBE | optimized geometry; DFT formation energy = -1.336 eV/atom; SG = C2/m; total moment = 0.88 μB/f.u.; raw total energy = -6.063 eV/atom
1.0
7.209 -2.192 0.000
7.209 2.192 0.000
-0.005 0.000 26.047
La As Pb
14 10 2
direct
0.031 0.031 0.250
0.136 0.136 0.965
0.137 0.137 0.535
0.321 0.321 0.327
0.322 0.322 0.173
0.410 0.410 0.605
0.410 0.410 0.895
0.590 0.590 0.105
0.590 0.590 0.395
0.678 0.678 0.827
0.679 0.679 0.673
0.863 0.863 0.465
0.864 0.864 0.035
0.969 0.969 0.750
0.045 0.045 0.643
0.045 0.045 0.857
0.227 0.227 0.073
0.227 0.227 0.427
0.500 0.500 0.000
0.500 0.500 0.500
0.773 0.773 0.573
0.773 0.773 0.927
0.955 0.955 0.143
0.955 0.955 0.357
0.299 0.299 0.750
0.701 0.701 0.250

---

[9]
DyEr3Te3 | Alexandria via LeMat-Bulk | GGA-PBE | optimized geometry; E_form (uncorrected) = -918.5 meV per atom; SG = R-3; total moment = 1.03 μB/f.u.; raw total energy = -4.878 eV/atom
1.0
3.538 2.042 10.306
-3.538 2.042 10.306
0.000 -4.085 10.306
Dy Er Te
2 6 6
direct
0.167 0.167 0.167
0.833 0.833 0.833
0.033 0.720 0.380
0.280 0.620 0.967
0.380 0.033 0.720
0.620 0.967 0.280
0.720 0.380 0.033
0.967 0.280 0.620
0.123 0.440 0.760
0.240 0.877 0.560
0.440 0.760 0.123
0.560 0.240 0.877
0.760 0.123 0.440
0.877 0.560 0.240

---

[10]
Fe2CuH | Alexandria via LeMat-Bulk | GGA-PBE | optimized geometry; SG = I-42d; total moment = 4.99 μB/f.u.; raw total energy = -5.815 eV/atom
1.0
-2.784 2.784 2.557
2.784 -2.784 2.557
2.784 2.784 -2.557
Fe Cu H
4 2 2
direct
0.025 0.625 0.900
0.375 0.275 0.400
0.725 0.125 0.100
0.875 0.975 0.600
0.250 0.750 0.500
0.500 0.500 0.000
0.000 0.000 0.000
0.750 0.250 0.500

---

[11]
K2TbPaO6 | Alexandria via LeMat-Bulk | GGA-PBE | optimized geometry; E_form (uncorrected) = -2553.4 meV per atom; SG = Fm-3m; total moment = 2.01 μB/f.u.; raw total energy = -7.160 eV/atom
1.0
0.000 4.404 4.404
4.404 0.000 4.404
4.404 4.404 0.000
K Tb Pa O
2 1 1 6
direct
0.250 0.250 0.250
0.750 0.750 0.750
0.000 0.000 0.000
0.500 0.500 0.500
0.257 0.257 0.743
0.257 0.743 0.257
0.257 0.743 0.743
0.743 0.257 0.257
0.743 0.257 0.743
0.743 0.743 0.257

---

[12]
PaCoC2 | Alexandria via LeMat-Bulk | GGA-PBE | optimized geometry; DFT formation energy = 0.580 eV/atom; SG = R-3m; total moment = 0.58 μB/f.u.; raw total energy = -8.182 eV/atom
1.0
1.933 1.116 5.088
-1.933 1.116 5.088
0.000 -2.232 5.088
Pa Co C
1 1 2
direct
0.000 0.000 0.000
0.500 0.500 0.500
0.385 0.385 0.385
0.615 0.615 0.615

---

[13]
Li4SnPd7 | Alexandria via LeMat-Bulk | GGA-PBE | optimized geometry; DFT formation energy = -0.194 eV/atom; SG = C2/m; total moment = 0.00 μB/f.u.; raw total energy = -4.194 eV/atom
1.0
5.080 -2.468 0.000
5.080 2.468 0.000
-4.556 0.000 7.976
Li Sn Pd
4 1 7
direct
0.085 0.085 0.266
0.225 0.225 0.814
0.775 0.775 0.186
0.915 0.915 0.734
0.500 0.500 0.500
0.000 0.000 0.500
0.153 0.153 0.038
0.290 0.290 0.578
0.456 0.456 0.121
0.544 0.544 0.879
0.710 0.710 0.422
0.847 0.847 0.962

---

[14]
La5DyHg3 | Alexandria via LeMat-Bulk | GGA-PBE | optimized geometry; DFT formation energy = -0.298 eV/atom; SG = P6_3/mcm; total moment = 0.00 μB/f.u.; raw total energy = -3.648 eV/atom
1.0
9.521 0.000 0.000
-4.760 8.245 0.000
0.000 0.000 7.091
La Dy Hg
10 2 6
direct
0.000 0.338 0.250
0.000 0.662 0.750
0.333 0.667 0.000
0.333 0.667 0.500
0.338 0.000 0.250
0.338 0.338 0.750
0.662 0.000 0.750
0.662 0.662 0.250
0.667 0.333 0.000
0.667 0.333 0.500
0.000 0.000 0.000
0.000 0.000 0.500
0.000 0.322 0.750
0.000 0.678 0.250
0.322 0.000 0.750
0.322 0.322 0.250
0.678 0.000 0.250
0.678 0.678 0.750

---

[15]
Zr4ScTl5 | Alexandria via LeMat-Bulk | GGA-PBE | optimized geometry; DFT formation energy = 0.139 eV/atom; SG = Pmmn; total moment = 0.00 μB/f.u.; raw total energy = -5.097 eV/atom
1.0
8.169 0.000 0.000
0.000 10.986 0.000
0.000 0.000 5.772
Zr Sc Tl
8 2 10
direct
0.068 0.250 0.075
0.250 0.613 0.839
0.250 0.887 0.839
0.432 0.250 0.075
0.568 0.750 0.925
0.750 0.113 0.161
0.750 0.387 0.161
0.932 0.750 0.925
0.250 0.750 0.336
0.750 0.250 0.664
0.060 0.524 0.267
0.060 0.976 0.267
0.250 0.250 0.577
0.440 0.524 0.267
0.440 0.976 0.267
0.560 0.024 0.733
0.560 0.476 0.733
0.750 0.750 0.423
0.940 0.024 0.733
0.940 0.476 0.733

---

[16]
TaO2F | Alexandria via LeMat-Bulk | GGA-PBE | optimized geometry; E_form (uncorrected) = -2878.8 meV per atom; SG = P4_2/mmc; total moment = 0.00 μB/f.u.; raw total energy = -8.789 eV/atom
1.0
3.981 0.000 0.000
0.000 3.981 0.000
0.000 0.000 7.773
Ta O F
2 4 2
direct
0.000 0.000 0.000
0.000 0.000 0.500
0.000 0.000 0.250
0.000 0.000 0.750
0.000 0.500 0.000
0.500 0.000 0.500
0.000 0.500 0.500
0.500 0.000 0.000

---

[17]
ScGaNiPd | Alexandria via LeMat-Bulk | GGA-PBE | optimized geometry; DFT formation energy = -0.688 eV/atom; SG = F-43m; total moment = 0.00 μB/f.u.; raw total energy = -5.771 eV/atom
1.0
0.000 3.120 3.120
3.120 0.000 3.120
3.120 3.120 0.000
Sc Ga Ni Pd
1 1 1 1
direct
0.000 0.000 0.000
0.500 0.500 0.500
0.250 0.250 0.250
0.750 0.750 0.750

---

[18]
BePAu | Alexandria via LeMat-Bulk | GGA-PBE | optimized geometry; DFT formation energy = 0.232 eV/atom; SG = Fmm2; total moment = 0.00 μB/f.u.; raw total energy = -3.906 eV/atom
1.0
0.000 2.120 6.418
1.727 0.000 6.418
1.727 2.120 0.000
Be P Au
1 1 1
direct
0.000 0.000 0.000
0.621 0.621 0.379
0.368 0.368 0.632

---

[19]
NaY2InO | Alexandria via LeMat-Bulk | GGA-PBE | optimized geometry; E_form (uncorrected) = -1298.5 meV per atom; SG = P4/mmm; total moment = 0.00 μB/f.u.; raw total energy = -5.687 eV/atom
1.0
4.787 0.000 0.000
0.000 4.787 0.000
0.000 0.000 4.677
Na Y In O
1 2 1 1
direct
0.000 0.000 0.000
0.000 0.500 0.500
0.500 0.000 0.500
0.500 0.500 0.000
0.000 0.000 0.500

---

[20]
NaLiBiS2 | Alexandria via LeMat-Bulk | GGA-PBE | optimized geometry; E_form (uncorrected) = -685.5 meV per atom; SG = P2/m; total moment = 0.00 μB/f.u.; raw total energy = -3.759 eV/atom
1.0
4.507 0.000 0.000
0.000 3.861 0.000
-1.216 0.000 7.394
Na Li Bi S
1 1 1 2
direct
0.000 0.000 0.000
0.000 0.000 0.500
0.500 0.500 0.500
0.065 0.500 0.736
0.935 0.500 0.264

---

[21]
LaCdFe | Alexandria via LeMat-Bulk | GGA-PBE | optimized geometry; DFT formation energy = -0.050 eV/atom; SG = C2/m; total moment = 0.01 μB/f.u.; raw total energy = -4.819 eV/atom
1.0
6.689 -2.013 0.000
6.689 2.013 0.000
-1.144 0.000 5.161
La Cd Fe
2 2 2
direct
0.133 0.133 0.312
0.867 0.867 0.688
0.424 0.424 0.220
0.576 0.576 0.780
0.230 0.230 0.923
0.770 0.770 0.077

---

[22]
Tb3PmPb2 | Alexandria via LeMat-Bulk | GGA-PBE | optimized geometry; DFT formation energy = -0.167 eV/atom; SG = Ibam; total moment = 0.00 μB/f.u.; raw total energy = -4.510 eV/atom
1.0
-3.780 7.352 3.754
3.780 -7.352 3.754
3.780 7.352 -3.754
Tb Pm Pb
6 2 4
direct
0.039 0.750 0.289
0.250 0.250 0.000
0.461 0.750 0.711
0.539 0.250 0.289
0.750 0.750 0.000
0.961 0.250 0.711
0.000 0.500 0.500
0.500 0.000 0.500
0.143 0.182 0.325
0.357 0.682 0.039
0.643 0.318 0.961
0.857 0.818 0.675